The following is a GGA-PBE calculation of Pr2NiC after structural relaxation, from the Alexandria database.

a b c (Å): 3.820 3.820 7.212
angles (deg): 74.64 74.64 60.00
Element x y z (fractional)
Pr (0.762, 0.762, 0.713)
Pr (0.238, 0.238, 0.287)
Ni (0.000, 0.000, 0.000)
C (0.500, 0.500, 0.500)

Results
* DOS at the Fermi energy: 0.76 states/eV per cell
* energy of formation: 4.2 kJ/mol of atoms
* VASP energy: -0.448 Ry/atom
* calculated density: 6.75 g/cm3


The following is a GGA-PBE calculation of PrNi2C after structural relaxation, from the Alexandria database.

a b c (Å): 6.452 7.034 8.513
angles (deg): 140.51 90.00 90.00
Element x y z (fractional)
Pr (0.368, 0.173, 0.379)
Pr (0.868, 0.327, 0.621)
Pr (0.632, 0.827, 0.621)
Pr (0.132, 0.673, 0.379)
Ni (0.829, 0.122, 0.132)
Ni (0.329, 0.378, 0.868)
Ni (0.171, 0.878, 0.868)
Ni (0.671, 0.622, 0.132)
Ni (0.529, 0.727, 0.903)
Ni (0.029, 0.773, 0.097)
Ni (0.471, 0.273, 0.097)
Ni (0.971, 0.227, 0.903)
C (0.757, 0.378, 0.137)
C (0.257, 0.122, 0.863)
C (0.243, 0.622, 0.863)
C (0.743, 0.878, 0.137)

Results
* DOS at the Fermi energy: 12.09 states/eV per cell
* excess energy over the best structure of this formula in the dataset: 0 kJ/mol of formula units
* energy of formation: -13.0 kJ/mol of atoms
* VASP energy: -0.480 Ry/atom
* calculated density: 7.31 g/cm3


The following is a GGA-PBE calculation of PrSiNiC after structural relaxation, from the Alexandria database.

a b c (Å): 3.857 3.857 8.522
angles (deg): 90.00 90.00 90.00
Element x y z (fractional)
Pr (0.000, 0.500, 0.843)
Pr (0.500, 0.000, 0.157)
Si (0.000, 0.500, 0.351)
Si (0.500, 0.000, 0.649)
Ni (0.000, 0.000, 0.500)
Ni (0.500, 0.500, 0.500)
C (0.500, 0.000, 0.861)
C (0.000, 0.500, 0.139)

Results
* DOS at the Fermi energy: 2.09 states/eV per cell
* ΔE_f (raw): -440 meV/atom
* VASP energy: -0.496 Ry/atom
* calculated density: 6.28 g/cm3


The following is a GGA-PBE calculation of Ni3PtC after structural relaxation, from the Alexandria database.

a b c (Å): 4.563 4.563 4.563
angles (deg): 90.00 90.00 90.00
Element x y z (fractional)
Ni (0.000, 0.500, 0.000)
Ni (0.000, 0.000, 0.500)
Ni (0.500, 0.000, 0.000)
C (0.500, 0.500, 0.500)
Pt (0.000, 0.000, 0.000)

Results
* DOS at the Fermi energy: 9.57 states/eV per cell
* excess energy over the best structure of this formula in the dataset: 1094 kJ/mol of formula units
* energy of formation: 232.3 kJ/mol of atoms
* VASP energy: -0.302 Ry/atom
* calculated density: 6.70 g/cm3


The following is a GGA-PBE calculation of NiPt3C after structural relaxation, from the Alexandria database.

a b c (Å): 4.529 4.529 4.529
angles (deg): 90.00 90.00 90.00
Element x y z (fractional)
Ni (0.000, 0.000, 0.000)
C (0.500, 0.500, 0.500)
Pt (0.000, 0.500, 0.000)
Pt (0.000, 0.000, 0.500)
Pt (0.500, 0.000, 0.000)

Results
* DOS at the Fermi energy: 11.30 states/eV per cell
* excess energy over the best structure of this formula in the dataset: 883 kJ/mol of formula units
* energy of formation: 224.1 kJ/mol of atoms
* VASP energy: -0.316 Ry/atom
* calculated density: 11.72 g/cm3


The following is a GGA-PBE calculation of Ni3PtC after structural relaxation, from the Alexandria database.

a b c (Å): 3.805 3.805 3.805
angles (deg): 90.00 90.00 90.00
Element x y z (fractional)
Ni (0.000, 0.500, 0.000)
Ni (0.000, 0.000, 0.500)
Ni (0.500, 0.000, 0.000)
C (0.000, 0.000, 0.000)
Pt (0.500, 0.500, 0.500)

Results
* DOS at the Fermi energy: 6.42 states/eV per cell
* excess energy over the best structure of this formula in the dataset: 0 kJ/mol of formula units
* energy of formation: 13.4 kJ/mol of atoms
* VASP energy: -0.469 Ry/atom
* calculated density: 11.55 g/cm3


What is the DOS at the Fermi energy in the third record? 2.09 states/eV per cell